# CoIF2, optimized geometry, DFT GGA+U
data_CoIF2
_chemical_formula_sum 'Co1 I1 F2'
_cell_length_a 9.6705
_cell_length_b 9.6705
_cell_length_c 9.6705
_cell_angle_alpha 19.22
_cell_angle_beta 19.22
_cell_angle_gamma 19.22
_symmetry_space_group_name_H-M 'P 1'
_symmetry_Int_Tables_number 1
loop_
_symmetry_equiv_pos_as_xyz
'x,y,z'
loop_
_atom_site_label
_atom_site_type_symbol
_atom_site_fract_x
_atom_site_fract_y
_atom_site_fract_z
F1 F 0.0606 0.0606 0.0606
F2 F 0.9394 0.9394 0.9394
Co1 Co 0.0000 0.0000 0.0000
I1 I 0.5000 0.5000 0.5000
# Polymorph energy (0 for the lowest one)   577 meV per atom
# Total DFT energy (no corrections)   -3.4811 eV/atom
# Symmetry   R-3m, No. 166